1.
32
Lattice="0.000 6.053 9.053 5.479 0.000 9.053 5.479 6.053 0.000" Properties=species:S:1:pos:R:3 comment="Ba2CaWN4 PBE relaxed" crystal_system=orthorhombic polymorph_energy_ev_per_fu=0.000 e_form_raw_kj_per_mol_atoms=-94 vol_a3_per_atom=18.77 e_tot_ev_per_cell=-239.4 rho_g_cm3=6.13 space_group="Fddd (70)" pbc="T T T"
Ba 7.618 4.540 6.790
Ba 4.110 4.540 4.765
Ba 10.357 7.566 11.316
Ba 4.110 4.540 8.815
Ba 6.849 7.566 9.291
Ba 0.601 4.540 6.790
Ba 6.849 7.566 13.341
Ba 3.341 7.566 11.316
Ca 4.110 4.540 0.661
Ca 6.849 7.566 5.188
Ca 4.110 4.540 12.918
Ca 6.849 7.566 17.445
W 4.110 1.594 6.790
W 6.849 4.620 11.316
W 4.110 7.486 6.790
W 6.849 10.512 11.316
N 6.945 5.561 3.793
N 5.640 2.703 6.646
N 9.685 6.545 8.319
N 6.945 3.519 9.787
N 8.379 5.729 11.461
N 2.580 2.703 6.934
N 1.274 3.519 3.793
N 5.640 6.377 6.934
N 5.319 5.729 11.172
N 9.685 8.587 14.313
N 8.379 9.403 11.172
N 2.580 6.377 6.646
N 4.014 8.587 8.319
N 1.274 5.561 9.787
N 5.319 9.403 11.461
N 4.014 6.545 14.313

2.
10
Lattice="4.583 -3.830 0.000 4.583 3.830 0.000 -2.468 0.000 6.378" Properties=species:S:1:pos:R:3 comment="Ce6P3H PBE relaxed" crystal_system=monoclinic vol_a3_per_atom=22.39 e_tot_ev_per_cell=-62.6 rho_g_cm3=6.93 space_group="C2/m (12)" pbc="T T T"
Ce -0.598 0.000 5.820
Ce 2.480 1.949 4.464
Ce 4.218 1.949 1.914
Ce 2.480 -1.949 4.464
Ce 4.218 -1.949 1.914
Ce 7.296 0.000 0.559
P 1.838 0.000 2.342
P 4.583 0.000 0.000
P 4.860 0.000 4.036
H -1.234 0.000 3.189

3.
4
Lattice="3.377 0.000 0.000 0.000 3.377 0.000 0.000 0.000 7.043" Properties=species:S:1:pos:R:3 comment="ErScAgRh PBE relaxed" crystal_system=tetragonal polymorph_energy_ev_per_fu=0.000 e_form_ev_per_atom=-0.621 vol_a3_per_atom=20.08 e_tot_ev_per_cell=-23.6 rho_g_cm3=8.75 space_group="P4mm (99)" pbc="T T T"
Er 0.000 0.000 0.000
Sc 0.000 0.000 3.840
Ag 1.688 1.688 2.058
Rh 1.688 1.688 5.331